1.
First-principles (PBE) data for an optimized crystal structure of Na3GaF6, as listed in Alexandria.

Cell: 6.530 6.530 6.530 Å, 90.71 90.71 90.71°
Fractional positions:
Na: 0.074 0.750 0.426
Na: 0.250 0.574 0.926
Na: 0.426 0.074 0.750
Na: 0.574 0.926 0.250
Na: 0.750 0.426 0.074
Na: 0.926 0.250 0.574
Ga: 0.000 0.000 0.000
Ga: 0.500 0.500 0.500
F: 0.050 0.285 0.946
F: 0.054 0.950 0.715
F: 0.215 0.450 0.554
F: 0.285 0.946 0.050
F: 0.446 0.785 0.550
F: 0.450 0.554 0.215
F: 0.550 0.446 0.785
F: 0.554 0.215 0.450
F: 0.715 0.054 0.950
F: 0.785 0.550 0.446
F: 0.946 0.050 0.285
F: 0.950 0.715 0.054

Results
- Raw formation energy: -27.57 eV/f.u.
- Total magnetization: 0.0 μB per cell
- Space group: R-3c

2.
First-principles (PBE) data for an optimized crystal structure of Na5Ga2F12, as listed in Alexandria.

Cell: 7.019 7.019 7.321 Å, 105.05 105.05 50.05°
Fractional positions:
Na: 0.000 0.000 0.000
Na: 0.297 0.297 0.131
Na: 0.299 0.299 0.670
Na: 0.701 0.701 0.330
Na: 0.703 0.703 0.869
Ga: 0.249 0.751 0.500
Ga: 0.751 0.249 0.500
F: 0.001 0.001 0.677
F: 0.102 0.600 0.926
F: 0.107 0.589 0.426
F: 0.400 0.898 0.074
F: 0.411 0.893 0.574
F: 0.500 0.500 0.321
F: 0.500 0.500 0.679
F: 0.589 0.107 0.426
F: 0.600 0.102 0.926
F: 0.893 0.411 0.574
F: 0.898 0.400 0.074
F: 0.999 0.999 0.323

Results
- Raw formation energy: -48.39 eV/f.u.
- Total magnetization: 1.0 μB per cell
- Space group: C2/m

3.
First-principles (PBE) data for an optimized crystal structure of Na2Ga2F7, as listed in Alexandria.

Cell: 5.805 5.805 5.597 Å, 94.91 94.91 106.57°
Fractional positions:
Na: 0.197 0.803 0.000
Na: 0.803 0.197 0.000
Ga: 0.240 0.240 0.597
Ga: 0.760 0.760 0.403
F: 0.068 0.068 0.292
F: 0.100 0.432 0.786
F: 0.432 0.100 0.786
F: 0.500 0.500 0.500
F: 0.568 0.900 0.214
F: 0.900 0.568 0.214
F: 0.932 0.932 0.708

Results
- Raw formation energy: -27.45 eV/f.u.
- Total magnetization: 0.0 μB per cell
- Space group: C2/m

4.
First-principles (PBE) data for an optimized crystal structure of Na3GaF, as listed in Alexandria.

Cell: 4.730 4.730 4.730 Å, 90.00 90.00 90.00°
Fractional positions:
Na: 0.000 0.000 0.500
Na: 0.000 0.500 0.000
Na: 0.500 0.000 0.000
Ga: 0.500 0.500 0.500
F: 0.000 0.000 0.000

Results
- Raw formation energy: -4.89 eV/f.u.
- Excess energy over the best structure of this formula in the dataset: 0 meV per atom
- Total magnetization: 0.0 μB per cell
- Space group: Pm-3m

5.
First-principles (PBE) data for an optimized crystal structure of Na2GaF, as listed in Alexandria.

Cell: 4.962 4.962 4.962 Å, 60.00 60.00 60.00°
Fractional positions:
Na: 0.250 0.250 0.250
Na: 0.750 0.750 0.750
Ga: 0.000 0.000 0.000
F: 0.500 0.500 0.500

Results
- Raw formation energy: -2.65 eV/f.u.
- Excess energy over the best structure of this formula in the dataset: 438 meV per atom
- Total magnetization: 0.0 μB per cell
- Space group: Fm-3m

6.
First-principles (PBE) data for an optimized crystal structure of Na3GaF6, as listed in Alexandria.

Cell: 5.540 5.779 9.691 Å, 90.00 124.36 90.00°
Fractional positions:
Na: 0.000 0.000 0.000
Na: 0.000 0.500 0.500
Na: 0.225 0.058 0.744
Na: 0.225 0.442 0.244
Na: 0.775 0.558 0.756
Na: 0.775 0.942 0.256
Ga: 0.500 0.000 0.500
Ga: 0.500 0.500 0.000
F: 0.167 0.179 0.447
F: 0.167 0.321 0.947
F: 0.258 0.725 0.426
F: 0.258 0.775 0.926
F: 0.396 0.056 0.276
F: 0.396 0.444 0.776
F: 0.604 0.556 0.224
F: 0.604 0.944 0.724
F: 0.742 0.225 0.074
F: 0.742 0.275 0.574
F: 0.833 0.679 0.053
F: 0.833 0.821 0.553

Results
- Raw formation energy: -27.78 eV/f.u.
- Total magnetization: 0.2 μB per cell
- Space group: P2_1/c

Look up the raw formation energy of the first one.
-27.57 eV/f.u.

Which formula does entry 3 have?
Na2Ga2F7

Number 1 is which compound?
Na3GaF6

Which value of total magnetization does entry 6 give?
0.2 μB per cell